Below is a relaxed structure of CoAsIr2, with properties calculated at the PBE level.

The energy relative to the elements is 18.00 kJ/mol of atoms. Its total energy is -7.18 eV per atom.

The structure belongs to space group Cmmm (No. 65); the cell edges are 5.500, 7.091 and 2.840 Å and the angles 90.00°, 90.00° and 90.00°. The asymmetric unit holds Co at (0.000, 0.000, 0.000), As at (0.000, 0.500, 0.000) and Ir at (0.250, 0.250, 0.500).